First-principles (PBE-GGA) data for crystalline TbDy2Co at its relaxed geometry, as listed in Alexandria via LeMat-Bulk.

The structure in extended XYZ format:
```
4
Lattice="3.395 0.000 0.000 0.000 3.395 0.000 0.000 0.000 8.844" Properties=species:S:1:pos:R:3 pbc="T T T"
Tb 0.000 0.000 0.000
Dy 1.697 1.697 2.804
Dy 1.697 1.697 6.040
Co 0.000 0.000 4.422
```

Summary:
**SG**: P4/mmm, No. 123
**Magnetic moment**: 0.80 μB per formula unit

First-principles (PBE-GGA) data for crystalline TbDyCo at its relaxed geometry, as listed in Alexandria via LeMat-Bulk.

The structure in extended XYZ format:
```
6
Lattice="6.562 -1.685 0.000 6.562 1.685 0.000 -1.732 0.000 6.517" Properties=species:S:1:pos:R:3 pbc="T T T"
Tb 1.567 0.000 0.417
Tb 9.826 0.000 6.100
Dy 0.698 0.000 3.672
Dy 10.695 0.000 2.845
Co 6.125 0.000 1.640
Co 5.268 0.000 4.877
```

Summary:
**SG**: C2/m, No. 12
**Magnetic moment**: 0.65 μB per formula unit

First-principles (PBE-GGA) data for crystalline TbDy3Co at its relaxed geometry, as listed in Alexandria via LeMat-Bulk.

The structure in extended XYZ format:
```
5
Lattice="5.273 0.000 0.000 0.000 5.273 0.000 0.000 0.000 5.273" Properties=species:S:1:pos:R:3 pbc="T T T"
Tb 0.000 0.000 0.000
Dy 0.000 2.636 2.636
Dy 2.636 0.000 2.636
Dy 2.636 2.636 0.000
Co 2.636 2.636 2.636
```

Summary:
**SG**: Pm-3m, No. 221
**Magnetic moment**: 0.00 μB per formula unit

First-principles (PBE-GGA) data for crystalline Tb12DyCo6 at its relaxed geometry, as listed in Alexandria via LeMat-Bulk.

The structure in extended XYZ format:
```
19
Lattice="-4.901 4.901 4.901 4.901 -4.901 4.901 4.901 4.901 -4.901" Properties=species:S:1:pos:R:3 pbc="T T T"
Tb 4.901 2.998 -1.872
Tb 3.028 0.000 1.903
Tb 6.773 0.000 1.903
Tb 1.903 3.028 0.000
Tb 2.998 -1.872 4.901
Tb 4.901 2.998 1.872
Tb 0.000 1.903 3.028
Tb 1.903 6.773 0.000
Tb 2.998 1.872 4.901
Tb -1.872 4.901 2.998
Tb 1.872 4.901 2.998
Tb 0.000 1.903 6.773
Dy 0.000 0.000 0.000
Co 4.901 1.110 0.000
Co 4.901 0.000 3.791
Co 3.791 4.901 0.000
Co 1.110 0.000 4.901
Co 0.000 4.901 1.110
Co 0.000 3.791 4.901
```

Summary:
**SG**: Im-3, No. 204
**Magnetic moment**: 0.00 μB per formula unit

First-principles (PBE-GGA) data for crystalline TbDy2Co at its relaxed geometry, as listed in Alexandria via LeMat-Bulk.

The structure in extended XYZ format:
```
4
Lattice="1.789 1.033 10.319 -1.789 1.033 10.319 0.000 -2.066 10.319" Properties=species:S:1:pos:R:3 pbc="T T T"
Tb 0.000 0.000 0.000
Dy 0.000 0.000 3.523
Dy 0.000 0.000 27.433
Co 0.000 0.000 15.478
```

Summary:
**SG**: R-3m, No. 166
**Magnetic moment**: 0.00 μB per formula unit

First-principles (PBE-GGA) data for crystalline Tb4Dy3Co4 at its relaxed geometry, as listed in Alexandria via LeMat-Bulk.

The structure in extended XYZ format:
```
11
Lattice="-1.806 4.399 7.772 1.806 -4.399 7.772 1.806 4.399 -7.772" Properties=species:S:1:pos:R:3 pbc="T T T"
Tb 1.806 -2.768 5.207
Tb 0.000 1.631 2.565
Tb 1.806 2.768 5.207
Tb 0.000 7.167 2.565
Dy 1.806 0.000 0.000
Dy 0.000 0.000 6.169
Dy 0.000 0.000 9.374
Co 1.806 0.000 3.914
Co 0.000 2.520 0.000
Co 0.000 6.278 0.000
Co 0.000 4.399 3.858
```

Summary:
**SG**: Immm, No. 71
**Magnetic moment**: 0.00 μB per formula unit

First-principles (PBE-GGA) data for crystalline TbDyCo at its relaxed geometry, as listed in Alexandria via LeMat-Bulk.

The structure in extended XYZ format:
```
3
Lattice="-1.686 1.686 6.331 1.686 -1.686 6.331 1.686 1.686 -6.331" Properties=species:S:1:pos:R:3 pbc="T T T"
Tb 0.000 0.000 0.000
Dy 0.000 0.000 3.239
Co 0.000 0.000 7.962
```

Summary:
**SG**: I4mm, No. 107
**Magnetic moment**: 0.68 μB per formula unit

First-principles (PBE-GGA) data for crystalline TbDy2Co at its relaxed geometry, as listed in Alexandria via LeMat-Bulk.

The structure in extended XYZ format:
```
4
Lattice="1.877 1.084 8.954 -1.877 1.084 8.954 0.000 -2.168 8.954" Properties=species:S:1:pos:R:3 pbc="T T T"
Tb 0.000 0.000 0.000
Dy 0.000 0.000 14.916
Dy 0.000 0.000 20.811
Co 0.000 0.000 4.429
```

Summary:
**SG**: R3m, No. 160
**Magnetic moment**: 0.00 μB per formula unit

First-principles (PBE-GGA) data for crystalline Tb2DyCo2 at its relaxed geometry, as listed in Alexandria via LeMat-Bulk.

The structure in extended XYZ format:
```
20
Lattice="7.198 0.000 0.000 0.000 7.198 0.000 0.000 0.000 8.395" Properties=species:S:1:pos:R:3 pbc="T T T"
Tb 1.247 2.355 0.000
Tb 1.244 2.352 4.197
Tb 2.355 5.951 0.000
Tb 2.352 5.954 4.197
Tb 4.843 1.247 0.000
Tb 4.846 1.244 4.197
Tb 5.951 4.843 0.000
Tb 5.954 4.846 4.197
Dy 0.000 0.000 2.096
Dy 0.000 0.000 6.299
Dy 3.599 3.599 2.101
Dy 3.599 3.599 6.293
Co 0.797 4.396 2.099
Co 0.797 4.396 6.296
Co 2.802 0.797 2.099
Co 2.802 0.797 6.296
Co 4.396 6.401 2.099
Co 4.396 6.401 6.296
Co 6.401 2.802 2.099
Co 6.401 2.802 6.296
```

Summary:
**SG**: P4/mnc, No. 128
**Magnetic moment**: 0.00 μB per formula unit

First-principles (PBE-GGA) data for crystalline TbDy4Co4 at its relaxed geometry, as listed in Alexandria via LeMat-Bulk.

The structure in extended XYZ format:
```
18
Lattice="8.395 0.000 0.000 0.000 8.395 0.000 0.000 0.000 5.577" Properties=species:S:1:pos:R:3 pbc="T T T"
Tb 2.099 2.099 1.394
Tb 6.297 6.297 4.183
Dy 0.515 5.660 0.736
Dy 1.462 7.881 3.525
Dy 2.735 4.713 3.525
Dy 3.683 6.933 0.736
Dy 4.713 1.462 4.841
Dy 5.660 3.683 2.052
Dy 6.933 0.515 2.052
Dy 7.881 2.735 4.841
Co 0.109 5.137 3.427
Co 0.939 8.286 0.638
Co 3.259 4.307 0.638
Co 4.089 7.457 3.427
Co 4.307 0.939 2.150
Co 5.137 4.089 4.939
Co 7.457 0.109 4.939
Co 8.286 3.259 2.150
```

Summary:
**SG**: P4_2/n, No. 86
**Magnetic moment**: 0.00 μB per formula unit

First-principles (PBE-GGA) data for crystalline TbDyCo2 at its relaxed geometry, as listed in Alexandria via LeMat-Bulk.

The structure in extended XYZ format:
```
8
Lattice="3.861 0.000 0.000 0.000 5.552 0.000 0.000 0.000 7.498" Properties=species:S:1:pos:R:3 pbc="T T T"
Tb 0.000 0.739 0.000
Tb 0.000 4.813 3.749
Dy 1.931 2.038 2.669
Dy 1.931 3.514 6.418
Co 0.000 1.949 4.873
Co 0.000 3.604 1.124
Co 1.931 0.844 5.287
Co 1.931 4.708 1.538
```

Summary:
**SG**: Pmc2_1, No. 26
**Magnetic moment**: 0.20 μB per formula unit

First-principles (PBE-GGA) data for crystalline Tb5Dy3Co2 at its relaxed geometry, as listed in Alexandria via LeMat-Bulk.

The structure in extended XYZ format:
```
20
Lattice="8.301 -5.087 0.000 8.301 5.087 0.000 -3.520 0.000 6.803" Properties=species:S:1:pos:R:3 pbc="T T T"
Tb 7.421 5.087 1.701
Tb 5.660 -5.087 5.102
Tb 3.179 2.611 5.963
Tb 2.346 0.000 3.380
Tb 0.586 0.000 6.782
Tb 8.142 2.611 4.242
Tb 4.939 -2.611 2.562
Tb 12.495 0.000 0.021
Tb 10.735 0.000 3.423
Tb 9.902 -2.611 0.840
Dy 4.917 2.608 2.551
Dy 9.924 2.608 0.851
Dy 7.421 0.001 1.701
Dy 5.660 -0.001 5.102
Dy 3.157 -2.608 5.952
Dy 8.164 -2.608 4.253
Co 4.841 0.001 2.516
Co 3.081 -0.001 5.918
Co 10.000 0.001 0.885
Co 8.240 -0.001 4.287
```

Summary:
**SG**: C2/c, No. 15
**Magnetic moment**: 0.00 μB per formula unit

First-principles (PBE-GGA) data for crystalline TbDy2Co2 at its relaxed geometry, as listed in Alexandria via LeMat-Bulk.

The structure in extended XYZ format:
```
5
Lattice="5.628 -1.865 0.000 5.628 1.865 0.000 -1.313 0.000 5.345" Properties=species:S:1:pos:R:3 pbc="T T T"
Tb 0.000 0.000 0.000
Dy 3.411 0.000 2.232
Dy 6.533 0.000 3.113
Co 1.999 0.000 4.788
Co 7.945 0.000 0.557
```

Summary:
**SG**: C2/m, No. 12
**Magnetic moment**: 0.00 μB per formula unit

First-principles (PBE-GGA) data for crystalline TbDyCo4 at its relaxed geometry, as listed in Alexandria via LeMat-Bulk.

The structure in extended XYZ format:
```
6
Lattice="0.000 3.588 3.588 3.588 0.000 3.588 3.588 3.588 0.000" Properties=species:S:1:pos:R:3 pbc="T T T"
Tb 0.000 0.000 0.000
Dy 1.794 1.794 1.794
Co 4.485 2.692 2.692
Co 2.692 4.485 2.692
Co 2.692 2.692 4.485
Co 4.485 4.485 4.485
```

Summary:
**SG**: F-43m, No. 216
**Magnetic moment**: 3.79 μB per formula unit

First-principles (PBE-GGA) data for crystalline TbDyTlCo at its relaxed geometry, as listed in Alexandria via LeMat-Bulk.

The structure in extended XYZ format:
```
4
Lattice="0.000 3.619 3.619 3.619 0.000 3.619 3.619 3.619 0.000" Properties=species:S:1:pos:R:3 pbc="T T T"
Tb 0.000 0.000 0.000
Dy 3.619 3.619 3.619
Tl 5.428 5.428 5.428
Co 1.809 1.809 1.809
```

Summary:
**SG**: F-43m, No. 216
**Magnetic moment**: 1.25 μB per formula unit

First-principles (PBE-GGA) data for crystalline Dy2CoTc at its relaxed geometry, as listed in Alexandria via LeMat-Bulk.

The structure in extended XYZ format:
```
4
Lattice="1.593 0.920 9.378 -1.593 0.920 9.378 0.000 -1.839 9.378" Properties=species:S:1:pos:R:3 pbc="T T T"
Dy 0.000 0.000 2.692
Dy 0.000 0.000 25.442
Co 0.000 0.000 14.067
Tc 0.000 0.000 0.000
```

Summary:
**SG**: R-3m, No. 166
**Magnetic moment**: 0.75 μB per formula unit

First-principles (PBE-GGA) data for crystalline Dy2Co3Tc at its relaxed geometry, as listed in Alexandria via LeMat-Bulk.

The structure in extended XYZ format:
```
12
Lattice="5.206 0.000 0.000 -2.603 4.508 0.000 0.000 0.000 8.128" Properties=species:S:1:pos:R:3 pbc="T T T"
Dy 0.000 3.005 0.510
Dy 0.000 3.005 3.554
Dy 2.603 1.503 4.574
Dy 2.603 1.503 7.618
Co 0.000 1.497 6.096
Co -1.306 3.760 6.096
Co 1.296 0.748 2.032
Co 1.306 3.760 6.096
Co 3.909 0.748 2.032
Co 2.603 3.011 2.032
Tc 0.000 0.000 0.000
Tc 0.000 0.000 4.064
```

Summary:
**SG**: P6_3/mmc, No. 194
**Magnetic moment**: 0.00 μB per formula unit

First-principles (PBE-GGA) data for crystalline DyCoTc at its relaxed geometry, as listed in Alexandria via LeMat-Bulk.

The structure in extended XYZ format:
```
12
Lattice="6.703 0.000 0.000 0.000 6.703 0.000 0.000 0.000 5.599" Properties=species:S:1:pos:R:3 pbc="T T T"
Dy 1.547 1.547 0.000
Dy 1.804 4.899 1.400
Dy 4.899 1.804 4.199
Dy 5.156 5.156 2.800
Co 1.164 5.539 4.199
Co 2.188 2.188 2.800
Co 4.515 4.515 0.000
Co 5.539 1.164 1.400
Tc 0.578 0.578 2.800
Tc 2.774 3.929 4.199
Tc 3.929 2.774 1.400
Tc 6.125 6.125 0.000
```

Summary:
**SG**: P4_12_12, No. 92
**Magnetic moment**: 0.00 μB per formula unit

First-principles (PBE-GGA) data for crystalline DyCo4Tc at its relaxed geometry, as listed in Alexandria via LeMat-Bulk.

The structure in extended XYZ format:
```
6
Lattice="0.000 3.475 3.475 3.475 0.000 3.475 3.475 3.475 0.000" Properties=species:S:1:pos:R:3 pbc="T T T"
Dy 0.000 0.000 0.000
Co 4.339 2.612 2.612
Co 2.612 4.339 2.612
Co 2.612 2.612 4.339
Co 4.339 4.339 4.339
Tc 1.738 1.738 1.738
```

Summary:
**SG**: F-43m, No. 216
**Magnetic moment**: 8.05 μB per formula unit

First-principles (PBE-GGA) data for crystalline Dy2CoTc at its relaxed geometry, as listed in Alexandria via LeMat-Bulk.

The structure in extended XYZ format:
```
4
Lattice="3.412 0.000 0.000 0.000 3.412 0.000 0.000 0.000 6.727" Properties=species:S:1:pos:R:3 pbc="T T T"
Dy 0.000 0.000 1.655
Dy 0.000 0.000 5.072
Co 1.706 1.706 0.000
Tc 1.706 1.706 3.363
```

Summary:
**SG**: P4/mmm, No. 123
**Magnetic moment**: 1.31 μB per formula unit

| no. | E_tot (eV/atom) | calculated density (g/cm³) |
| --- | --- | --- |
| 1 | -5.2847 | 8.8 |
| 2 | -5.5498 | 8.8 |
| 3 | -5.1083 | 8.0 |
| 4 | -5.5347 | 8.5 |
| 5 | -5.0703 | 7.9 |
| 6 | -5.5964 | 9.1 |
| 7 | -5.5509 | 8.8 |
| 8 | -5.2371 | 8.2 |
| 9 | -5.7514 | 9.1 |
| 10 | -5.7804 | 8.8 |
| 11 | -6.0580 | 9.1 |
| 12 | -5.1443 | 8.1 |
| 13 | -5.6775 | 8.9 |
| 14 | -6.4701 | 10.0 |
| 15 | -4.7960 | 10.2 |
| 16 | -5.9814 | 9.7 |
| 17 | -6.9807 | 10.4 |
| 18 | -7.1077 | 8.4 |
| 19 | -7.1975 | 9.8 |
| 20 | -6.6397 | 10.2 |